Computed, not measured: a relaxed structure of KBeF3 at the PBE level of DFT.

Output
Symmetry: Pm-3m
Formation energy without anion corrections, eV/atom: -2.83
N(E_F), states/eV per atom: 0.00

Cell lengths 3.7363, 3.7363, 3.7363 Å; angles 90.00, 90.00, 90.00 degrees
Fractional positions:
K 0.0000 0.0000 0.0000
Be 0.5000 0.5000 0.5000
F 0.0000 0.5000 0.5000
F 0.5000 0.0000 0.5000
F 0.5000 0.5000 0.0000